12
Lattice="-1.343 0.962 4.527 4.119 -1.404 2.074 2.901 6.373 0.304" Properties=species:S:1:pos:R:3 comment="Li2SnGeF8 GGA-PBE relaxed" raw_formation_energy_ev_per_atom=-2.547 dos_at_fermi_per_ev_atom=0.00 magnetic_moment_mub_per_atom=0.00 pbc="T T T"
Ge 0.000 0.000 0.000
Sn 1.450 3.186 0.152
F 2.324 3.012 2.275
F 2.096 5.635 4.291
F 3.351 2.919 4.629
F 0.306 1.712 4.094
F 3.483 6.017 1.960
F 2.193 -0.086 4.945
F 5.369 4.219 2.811
F 3.579 0.296 2.613
Li 3.362 4.390 3.245
Li 2.314 1.541 3.660